This record from the Alexandria database describes a geometry-optimized Mn2BiPdO structure. The functional is PBE+U. Values from VASP.

## Properties
Magnetic moment, μB/f.u.: 9.58
Density of states at the Fermi level, states/eV/cell: 1.94
Space-group type: No. 123
VASP energy, eV per atom: -6.142

Structure (Quantum ESPRESSO input):
```
&SYSTEM
  ibrav = 0, nat = 5, ntyp = 4
/
ATOMIC_SPECIES
O 16.00 O.upf
Mn 54.94 Mn.upf
Bi 208.98 Bi.upf
Pd 106.42 Pd.upf
CELL_PARAMETERS angstrom
-1.5905 -2.6517 -2.9537
1.1838 -3.8379 2.8081
-3.8326 0.1979 1.8861
ATOMIC_POSITIONS angstrom
O 0.0000 0.0000 0.0000
Mn -1.9163 0.0990 0.9431
Mn -0.7953 -1.3258 -1.4768
Bi -2.1197 -3.1458 0.8703
Pd 0.5919 -1.9190 1.4040
```